The following is a PBE calculation of a relaxed structure of PuTaMoIr, from Alexandria via LeMat-Bulk.

Cell and atoms, written as POSCAR:
```
PuTaMoIr
1.0
0.000 3.298 3.298
3.298 0.000 3.298
3.298 3.298 0.000
Pu Ta Mo Ir
1 1 1 1
direct
0.000 0.000 0.000
0.500 0.500 0.500
0.750 0.750 0.750
0.250 0.250 0.250
```

## Properties
Magnetic moment, μB/f.u.: 4.387
Energy relative to the elements, eV per atom: -0.137
E, eV/f.u.: -46.42